# 1
Crystalline Rb2Ho2RhO6 at its relaxed geometry, computed with PBE.

Summary:
Space group: C2/m
D(E_F): 7.6 states/eV per cell
Theoretical density: 6.1 g/cm3

a b c (Å): 5.7522 5.7522 6.8707
angles (deg): 97.46 97.46 119.55
Each line ends with the local moment (μB).
Fractional coordinates of all 11 atoms:
O  0.2549  0.2549  0.3335  0.05
Ho  0.6650  0.3350  0.5000  0.02
Rb  0.1637  0.8363  0.0000  0.00
O  0.0483  0.3612  0.6646  0.06
O  0.3612  0.0483  0.6646  0.06
O  0.7451  0.7451  0.6665  0.05
Ho  0.3350  0.6650  0.5000  0.02
O  0.9517  0.6388  0.3354  0.06
Rh  0.0000  0.0000  0.5000  0.62
Rb  0.8363  0.1637  0.0000  0.00
O  0.6388  0.9517  0.3354  0.06

# 2
Crystalline Rb2HoRuO6 at its relaxed geometry, computed with PBE.

Summary:
Space group: P-3m1
D(E_F): 5.7 states/eV per cell
Theoretical density: 4.4 g/cm3

a b c (Å): 5.7098 6.3919 6.3919
angles (deg): 120.00 90.00 90.00
Each line ends with the local moment (μB).
Fractional coordinates of all 10 atoms:
O  0.2071  0.2744  0.1372  0.04
Rb  0.8692  0.6667  0.3333  0.00
O  0.7929  0.1372  0.8628  0.04
O  0.7929  0.1372  0.2744  0.04
O  0.7929  0.7256  0.8628  0.04
Ho  0.5000  0.0000  0.0000  0.04
O  0.2071  0.8628  0.7256  0.04
Ru  0.0000  0.0000  0.0000  0.64
O  0.2071  0.8628  0.1372  0.04
Rb  0.1308  0.3333  0.6667  0.00

# 3
Crystalline Rb2Ho2RuO6 at its relaxed geometry, computed with PBE.

Summary:
Space group: C2/m
D(E_F): 6.5 states/eV per cell
Theoretical density: 6.1 g/cm3

a b c (Å): 5.7548 5.7548 6.8690
angles (deg): 97.50 97.50 119.55
Each line ends with the local moment (μB).
Fractional coordinates of all 11 atoms:
Ho  0.6648  0.3352  0.5000  0.03
O  0.9521  0.6405  0.3366  0.07
Ho  0.3352  0.6648  0.5000  0.03
O  0.6405  0.9521  0.3366  0.07
Ru  0.0000  0.0000  0.5000  1.44
O  0.7453  0.7453  0.6660  0.06
Rb  0.1639  0.8361  0.0000  0.00
Rb  0.8361  0.1639  0.0000  0.00
O  0.0479  0.3595  0.6634  0.07
O  0.2547  0.2547  0.3340  0.06
O  0.3595  0.0479  0.6634  0.07

# 4
Crystalline RbHoRuO6 at its relaxed geometry, computed with PBE.

Summary:
Space group: P312
Theoretical density: 4.4 g/cm3

a b c (Å): 5.6184 5.6182 6.1624
angles (deg): 90.00 89.99 60.00
Fractional coordinates of all 9 atoms:
O  0.0455  0.3665  0.3214
Ru  0.3333  0.3333  0.5000
O  0.5880  0.0455  0.3214
O  0.5879  0.3665  0.6786
Rb  0.0000  0.0000  0.0000
O  0.3665  0.5880  0.3214
O  0.3665  0.0455  0.6786
O  0.0454  0.5880  0.6786
Ho  0.6666  0.6667  0.5000

# 5
Crystalline Rb4Ho3RuO8 at its relaxed geometry, computed with PBE.

Summary:
Space group: R-3m
D(E_F): 8.5 states/eV per cell
Theoretical density: 6.7 g/cm3

a b c (Å): 6.8336 7.5998 6.8330
angles (deg): 116.71 120.00 90.00
Each line ends with the local moment (μB).
Fractional coordinates of all 16 atoms:
Ho  0.5000  0.5000  0.5000  0.00
Rb  0.0000  0.0000  0.0000  0.00
O  0.2193  0.6745  0.4386  0.03
O  0.2748  0.3245  0.5496  0.00
Rb  0.5000  0.0000  0.0000  0.00
Ho  0.0000  0.5000  0.5000  0.00
O  0.2643  0.3254  0.0449  0.03
O  0.7252  0.6755  0.4504  0.00
Rb  0.0000  0.0000  0.5000  0.00
O  0.7805  0.3254  0.0449  0.03
Rb  0.5000  0.0000  0.5000  0.00
Ho  0.5000  0.5000  0.0000  0.00
O  0.7357  0.6746  0.9551  0.03
Ru  0.0000  0.5000  0.0000  0.79
O  0.2195  0.6746  0.9551  0.03
O  0.7807  0.3255  0.5614  0.03

# 6
Crystalline RbHo2RuO8 at its relaxed geometry, computed with PBE.

Summary:
Space group: P-1
D(E_F): 4.0 states/eV per cell
Theoretical density: 6.5 g/cm3

a b c (Å): 4.7994 4.5402 7.7294
angles (deg): 81.60 86.10 94.36
Each line ends with the local moment (μB).
Fractional coordinates of all 12 atoms:
Ho  0.4634  0.4269  0.7853  0.03
O  0.5198  0.3381  0.4964  -0.01
Ho  0.5366  0.5731  0.2147  0.03
O  0.2929  0.8980  0.8397  0.04
O  0.9180  0.2885  0.8028  0.02
O  0.2599  0.2911  0.0643  0.02
O  0.0820  0.7115  0.1972  0.02
Ru  0.0000  0.0000  0.0000  0.72
Rb  0.0000  0.0000  0.5000  0.00
O  0.7071  0.1020  0.1603  0.04
O  0.4802  0.6619  0.5036  -0.01
O  0.7401  0.7089  0.9357  0.02

Number 1: formation energy from raw total energies -2.155 eV/atom. Number 2: formation energy from raw total energies -1.592 eV/atom. Number 3: formation energy from raw total energies -2.210 eV/atom. Number 4: formation energy from raw total energies -1.522 eV/atom. Number 5: formation energy from raw total energies -2.204 eV/atom. Number 6: formation energy from raw total energies -1.863 eV/atom.